# 1
Computed, not measured: BeTeAuBr2 after structural relaxation at the PBE-GGA level of DFT.

Output
E in eV per atom: -2.569

Lattice parameters (Å, degrees): 4.3761 4.3761 8.3774 90.00 90.00 90.00
Closest atoms and distances in Å follow each position.
Sites, in units of the cell vectors:
Be1 0.0000 0.0000 0.0000  4 Br 2.19
Te1 0.5000 0.5000 0.5000  4 Au 3.09
Au1 0.0000 0.0000 0.5000  4 Te 3.09
Br1 0.0000 0.5000 0.0000  2 Be 2.19
Br2 0.5000 0.0000 0.0000  2 Be 2.19



# 2
Computed, not measured: Ti2BeAuBr after structural relaxation at the PBE-GGA level of DFT.

Output
E in eV per atom: -4.414

Lattice parameters (Å, degrees): 5.1253 5.1253 4.2928 90.00 90.00 90.00
Closest atoms and distances in Å follow each position.
Sites, in units of the cell vectors:
Ti1 0.0000 0.5000 0.0000  2 Au 2.56
Ti2 0.5000 0.0000 0.0000  2 Au 2.56
Be1 0.0000 0.0000 0.5000  2 Au 2.15
Au1 0.0000 0.0000 0.0000  2 Be 2.15
Br1 0.5000 0.5000 0.5000  8 Ti 3.34, 4 Be 3.62



# 3
Computed, not measured: BeAuC2 after structural relaxation at the PBE-GGA level of DFT.

Output
E in eV per atom: -4.824
Energy of formation from the pure elements in eV per atom: 1.54

Lattice parameters (Å, degrees): 4.5564 4.5564 8.8950 90.00 90.00 90.00
Closest atoms and distances in Å follow each position.
Sites, in units of the cell vectors:
Be1 0.0000 0.0000 0.0000  4 C 1.83
Be2 0.0000 0.5000 0.2500  4 C 1.83
Be3 0.5000 0.0000 0.7500  4 C 1.83
Be4 0.5000 0.5000 0.5000  4 C 1.83
Au1 0.0000 0.0000 0.5000  4 C 2.10
Au2 0.0000 0.5000 0.7500  4 C 2.10
Au3 0.5000 0.0000 0.2500  4 C 2.10
Au4 0.5000 0.5000 0.0000  4 C 2.10
C1 0.1997 0.2500 0.1250  2 Be 1.83
C2 0.2500 0.6997 0.3750  2 Be 1.83
C3 0.2500 0.8003 0.8750  2 Be 1.83
C4 0.3003 0.2500 0.6250  2 Be 1.83
C5 0.6997 0.7500 0.6250  2 Be 1.83
C6 0.7500 0.1997 0.8750  2 Be 1.83
C7 0.7500 0.3003 0.3750  2 Be 1.83
C8 0.8003 0.7500 0.1250  2 Be 1.83



# 4
Computed, not measured: BeAu3C after structural relaxation at the PBE-GGA level of DFT.

Output
E in eV per atom: -3.581
Energy of formation from the pure elements in eV per atom: 0.98

Lattice parameters (Å, degrees): 4.3112 4.3112 4.3112 90.00 90.00 90.00
Closest atoms and distances in Å follow each position.
Sites, in units of the cell vectors:
Be1 0.0000 0.0000 0.0000  12 Au 3.05
Au1 0.0000 0.5000 0.5000  2 C 2.16
Au2 0.5000 0.0000 0.5000  2 C 2.16
Au3 0.5000 0.5000 0.0000  2 C 2.16
C1 0.5000 0.5000 0.5000  6 Au 2.16



# 5
Computed, not measured: HfBeAuC2 after structural relaxation at the PBE-GGA level of DFT.

Output
E in eV per atom: -4.728
Energy of formation from the pure elements in eV per atom: 2.35

Lattice parameters (Å, degrees): 3.9656 3.9656 5.5016 90.00 90.00 90.00
Closest atoms and distances in Å follow each position.
Sites, in units of the cell vectors:
Hf1 0.0000 0.0000 0.0000  2 Au 2.75, 4 Be 2.80
Be1 0.5000 0.5000 0.0000  4 Hf 2.80
Au1 0.0000 0.0000 0.5000  4 C 1.98
C1 0.0000 0.5000 0.5000  2 Au 1.98
C2 0.5000 0.0000 0.5000  2 Au 1.98



# 6
Computed, not measured: BeIrAu2C after structural relaxation at the PBE-GGA level of DFT.

Output
E in eV per atom: -4.058
Energy of formation from the pure elements in eV per atom: 1.62

Lattice parameters (Å, degrees): 4.3276 4.3276 4.1683 90.00 90.00 90.00
Closest atoms and distances in Å follow each position.
Sites, in units of the cell vectors:
Be1 0.0000 0.0000 0.0000  2 Ir 2.08, 4 Au 2.16
Ir1 0.0000 0.0000 0.5000  2 Be 2.08
Au1 0.0000 0.5000 0.0000  2 Be 2.16
Au2 0.5000 0.0000 0.0000  2 Be 2.16
C1 0.5000 0.5000 0.5000  8 Au 3.00, 4 Ir 3.06



# 7
Computed, not measured: LiBe2AuC after structural relaxation at the PBE-GGA level of DFT.

Output
E in eV per atom: -4.328
Energy of formation from the pure elements in eV per atom: 0.05

Lattice parameters (Å, degrees): 3.5319 3.5319 4.3925 90.00 90.00 90.00
Closest atoms and distances in Å follow each position.
Sites, in units of the cell vectors:
Li1 0.0000 0.0000 0.0000  2 C 2.20
Be1 0.0000 0.5000 0.5000  2 C 1.77
Be2 0.5000 0.0000 0.5000  2 C 1.77
Au1 0.5000 0.5000 0.0000  4 Li 2.50
C1 0.0000 0.0000 0.5000  4 Be 1.77



# 8
Computed, not measured: Ti2BeAuC after structural relaxation at the PBE-GGA level of DFT.

Output
E in eV per atom: -6.814
Energy of formation from the pure elements in eV per atom: -0.41

Lattice parameters (Å, degrees): 4.2787 4.2787 3.5605 90.00 90.00 90.00
Closest atoms and distances in Å follow each position.
Sites, in units of the cell vectors:
Ti1 0.0000 0.5000 0.0000  2 C 2.14
Ti2 0.5000 0.0000 0.0000  2 C 2.14
Be1 0.0000 0.0000 0.5000  2 C 1.78
Au1 0.5000 0.5000 0.5000  8 Ti 2.78, 4 Be 3.03
C1 0.0000 0.0000 0.0000  2 Be 1.78



Repeat the sixth record exactly.
Computed, not measured: BeIrAu2C after structural relaxation at the PBE-GGA level of DFT.

Output
E in eV per atom: -4.058
Energy of formation from the pure elements in eV per atom: 1.62

Lattice parameters (Å, degrees): 4.3276 4.3276 4.1683 90.00 90.00 90.00
Closest atoms and distances in Å follow each position.
Sites, in units of the cell vectors:
Be1 0.0000 0.0000 0.0000  2 Ir 2.08, 4 Au 2.16
Ir1 0.0000 0.0000 0.5000  2 Be 2.08
Au1 0.0000 0.5000 0.0000  2 Be 2.16
Au2 0.5000 0.0000 0.0000  2 Be 2.16
C1 0.5000 0.5000 0.5000  8 Au 3.00, 4 Ir 3.06



Repeat the fifth record exactly.
Computed, not measured: HfBeAuC2 after structural relaxation at the PBE-GGA level of DFT.

Output
E in eV per atom: -4.728
Energy of formation from the pure elements in eV per atom: 2.35

Lattice parameters (Å, degrees): 3.9656 3.9656 5.5016 90.00 90.00 90.00
Closest atoms and distances in Å follow each position.
Sites, in units of the cell vectors:
Hf1 0.0000 0.0000 0.0000  2 Au 2.75, 4 Be 2.80
Be1 0.5000 0.5000 0.0000  4 Hf 2.80
Au1 0.0000 0.0000 0.5000  4 C 1.98
C1 0.0000 0.5000 0.5000  2 Au 1.98
C2 0.5000 0.0000 0.5000  2 Au 1.98